1.
Entry from Alexandria: an optimized crystal structure of DyTh2ScAs4 (PBE).

Output
For the formation energy, the calculation gives -135.9 kJ/mol of atoms. For the calculated volume, the calculation gives 25.0 Å³ per atom.

Lattice parameters (Å, degrees): 7.1051 4.1581 7.1984 90.00 109.82 90.00
With the nearest neighbours (Å) after each atom.
Space group P2/m (No. 10)
Unique sites:
Dy 0.0000 0.0000 0.0000  6 As 2.89-2.90
Th 0.5000 0.0000 0.5000  6 As 2.96
Th 0.5000 0.5000 0.0000  6 As 3.01
Sc 0.0000 0.5000 0.5000  6 As 2.84
As 0.2322 0.0000 0.7381  2 Sc 2.84, 1 Dy 2.90, 3 Th 2.96-3.01
As 0.2364 0.5000 0.2511  1 Sc 2.84, 2 Dy 2.89, 3 Th 2.96-3.01



2.
Entry from Alexandria: an optimized crystal structure of Dy2TmScAs4 (PBE).

Output
For the formation energy, the calculation gives -142.5 kJ/mol of atoms. For the calculated volume, the calculation gives 23.5 Å³ per atom.

Lattice parameters (Å, degrees): 7.0068 4.0518 7.0117 90.00 109.49 90.00
With the nearest neighbours (Å) after each atom.
Space group P2/m (No. 10)
Unique sites:
Dy 0.0000 0.0000 0.0000  6 As 2.88
Dy 0.0000 0.5000 0.5000  6 As 2.92
Tm 0.5000 0.0000 0.5000  6 As 2.85
Sc 0.5000 0.5000 0.0000  6 As 2.81
As 0.2572 0.5000 0.2476  1 Sc 2.81, 2 Tm 2.85, 3 Dy 2.88-2.92
As 0.2608 0.0000 0.7585  2 Sc 2.81, 1 Tm 2.85, 3 Dy 2.88-2.92



What did we get for D(E_F)? Answer: 3.8 1.0 states/eV per cell, in the order shown.